(1)
{"formula": "KFe", "functional": "PBE", "state": "relaxed", "lattice": [[1.472, 0.850, 5.814], [-1.472, 0.850, 5.814], [0.000, -1.700, 5.814]], "species": ["K", "Fe"], "frac_coords": [[0.000, 0.000, 0.000], [0.500, 0.500, 0.500]], "density_g_cm3": 3.61, "space_group": "R-3m", "delta_e_f_kj_per_mol_atoms": 132.1, "e_above_lowest_polymorph_ev_per_atom": 0.702}



(2)
{"formula": "K2Fe", "functional": "PBE", "state": "relaxed", "lattice": [[-1.958, 1.958, 8.351], [1.958, -1.958, 8.351], [1.958, 1.958, -8.351]], "species": ["K", "K", "Fe"], "frac_coords": [[0.130, 0.130, 0.000], [0.870, 0.870, 0.000], [0.500, 0.500, 0.000]], "density_g_cm3": 1.74, "space_group": "I4/mmm", "delta_e_f_kj_per_mol_atoms": 95.3, "e_above_lowest_polymorph_ev_per_atom": 0.328}



(3)
{"formula": "KFe", "functional": "PBE", "state": "relaxed", "lattice": [[2.959, 0.000, 0.000], [-1.479, 2.562, 0.000], [0.000, 0.000, 5.849]], "species": ["K", "Fe"], "frac_coords": [[0.000, 0.000, 0.000], [0.333, 0.667, 0.500]], "density_g_cm3": 3.56, "space_group": "P-6m2", "delta_e_f_kj_per_mol_atoms": 131.6, "e_above_lowest_polymorph_ev_per_atom": 0.696}



(4)
{"formula": "KFe", "functional": "PBE", "state": "relaxed", "lattice": [[-1.554, 3.016, 6.109], [1.554, -3.016, 6.109], [1.554, 3.016, -6.109]], "species": ["K", "K", "Fe", "Fe"], "frac_coords": [[0.351, 0.101, 0.250], [0.649, 0.899, 0.750], [0.067, 0.317, 0.750], [0.933, 0.683, 0.250]], "density_g_cm3": 2.75, "space_group": "Imma", "delta_e_f_kj_per_mol_atoms": 87.6, "e_above_lowest_polymorph_ev_per_atom": 0.240}



(5)
{"formula": "KFe2", "functional": "PBE", "state": "relaxed", "lattice": [[-1.566, 1.566, 6.290], [1.566, -1.566, 6.290], [1.566, 1.566, -6.290]], "species": ["K", "Fe", "Fe"], "frac_coords": [[0.000, 0.000, 0.000], [0.283, 0.283, 0.000], [0.717, 0.717, 0.000]], "density_g_cm3": 4.06, "space_group": "I4/mmm", "delta_e_f_kj_per_mol_atoms": 77.5}



(6)
{"formula": "KFe", "functional": "PBE", "state": "relaxed", "lattice": [[2.989, -6.267, 0.000], [2.989, 6.267, 0.000], [0.000, 0.000, 3.106]], "species": ["K", "K", "Fe", "Fe"], "frac_coords": [[0.146, 0.854, 0.750], [0.854, 0.146, 0.250], [0.434, 0.566, 0.750], [0.566, 0.434, 0.250]], "density_g_cm3": 2.71, "space_group": "Cmcm", "delta_e_f_kj_per_mol_atoms": 88.2, "e_above_lowest_polymorph_ev_per_atom": 0.247}



(7)
{"formula": "KFe2", "functional": "PBE", "state": "relaxed", "lattice": [[7.309, 0.000, 0.000], [0.000, 7.309, 0.000], [0.000, 0.000, 7.309]], "species": ["K", "K", "K", "K", "Fe", "Fe", "Fe", "Fe", "Fe", "Fe", "Fe", "Fe"], "frac_coords": [[0.000, 0.000, 0.000], [0.000, 0.500, 0.500], [0.500, 0.000, 0.500], [0.500, 0.500, 0.000], [0.082, 0.582, 0.918], [0.082, 0.918, 0.418], [0.418, 0.082, 0.918], [0.418, 0.418, 0.418], [0.582, 0.582, 0.582], [0.582, 0.918, 0.082], [0.918, 0.082, 0.582], [0.918, 0.418, 0.082]], "density_g_cm3": 2.56, "space_group": "Pa-3", "delta_e_f_kj_per_mol_atoms": 184.3}



(8)
{"formula": "KFe", "functional": "PBE", "state": "relaxed", "lattice": [[0.000, 4.965, 7.794], [3.158, 0.000, 7.794], [3.158, 4.965, 0.000]], "species": ["K", "K", "K", "K", "Fe", "Fe", "Fe", "Fe"], "frac_coords": [[0.040, 0.710, 0.040], [0.290, 0.960, 0.290], [0.710, 0.040, 0.710], [0.960, 0.290, 0.960], [0.307, 0.307, 0.443], [0.443, 0.443, 0.307], [0.557, 0.557, 0.693], [0.693, 0.693, 0.557]], "density_g_cm3": 2.58, "space_group": "Fddd", "delta_e_f_kj_per_mol_atoms": 105.7, "e_above_lowest_polymorph_ev_per_atom": 0.428}



| no. | electronic total energy (eV per atom) |
| --- | --- |
| 1 | -3.411 |
| 2 | -2.565 |
| 3 | -3.416 |
| 4 | -3.872 |
| 5 | -5.204 |
| 6 | -3.865 |
| 7 | -4.097 |
| 8 | -3.685 |